# CrSiW2 GGA-PBEsol relaxed
# - Calculated total energy: -10.792 eV per atom
# - Crystal system: tetragonal
# - Magnetization: 2.1 μB per cell
data_CrSiW2
_space_group_name_H-M_alt 'I 4/m m m'
_space_group_IT_number 139
_space_group_name_Hall '-I 4 2'
_cell_length_a 3.7205
_cell_length_b 3.7205
_cell_length_c 8.0372
_cell_angle_alpha 90.00
_cell_angle_beta 90.00
_cell_angle_gamma 90.00
loop_
_atom_site_label
_atom_site_type_symbol
_atom_site_fract_x
_atom_site_fract_y
_atom_site_fract_z
Cr1 Cr 0.0000 0.0000 0.0000
Si1 Si 0.0000 0.0000 0.5000
W1 W 0.0000 0.5000 0.2500

# CrSiW2 GGA-PBEsol relaxed
# - Calculated total energy: -10.908 eV per atom
# - Crystal system: tetragonal
# - Magnetization: 0.0 μB per cell
data_CrSiW2
_space_group_name_H-M_alt 'P 4 m m'
_space_group_IT_number 99
_cell_length_a 3.1219
_cell_length_b 3.1219
_cell_length_c 5.6340
_cell_angle_alpha 90.00
_cell_angle_beta 90.00
_cell_angle_gamma 90.00
loop_
_space_group_symop_operation_xyz
'x,y,z'
'-y,x,z'
'-x,-y,z'
'y,-x,z'
'-x,y,z'
'y,x,z'
'x,-y,z'
'-y,-x,z'
loop_
_atom_site_label
_atom_site_type_symbol
_atom_site_fract_x
_atom_site_fract_y
_atom_site_fract_z
Cr1 Cr 0.0000 0.0000 0.0000
Si1 Si 0.5000 0.5000 0.2293
W1 W 0.0000 0.0000 0.4709
W2 W 0.5000 0.5000 0.7585

# CrSiW2 GGA-PBEsol relaxed
# - Calculated total energy: -10.935 eV per atom
# - Crystal system: orthorhombic
# - Magnetization: 0.0 μB per cell
data_CrSiW2
_space_group_name_H-M_alt 'I m m 2'
_space_group_IT_number 44
_cell_length_a 3.0897
_cell_length_b 4.1645
_cell_length_c 8.4595
_cell_angle_alpha 90.00
_cell_angle_beta 90.00
_cell_angle_gamma 90.00
loop_
_space_group_symop_operation_xyz
'x,y,z'
'-x,-y,z'
'-x,y,z'
'x,-y,z'
'x+1/2,y+1/2,z+1/2'
'-x+1/2,-y+1/2,z+1/2'
'-x+1/2,y+1/2,z+1/2'
'x+1/2,-y+1/2,z+1/2'
loop_
_atom_site_label
_atom_site_type_symbol
_atom_site_fract_x
_atom_site_fract_y
_atom_site_fract_z
Cr1 Cr 0.0000 0.0000 0.0000
Si1 Si 0.0000 0.5000 0.2611
W1 W 0.0000 0.0000 0.4981
W2 W 0.0000 0.5000 0.7422

# CrSiW2 GGA-PBEsol relaxed
# - Calculated total energy: -10.775 eV per atom
# - Crystal system: tetragonal
# - Magnetization: 1.2 μB per cell
data_CrSiW2
_space_group_name_H-M_alt 'P 4/m m m'
_space_group_IT_number 123
_space_group_name_Hall '-P 4 2'
_cell_length_a 3.7819
_cell_length_b 3.7819
_cell_length_c 3.8898
_cell_angle_alpha 90.00
_cell_angle_beta 90.00
_cell_angle_gamma 90.00
loop_
_atom_site_label
_atom_site_type_symbol
_atom_site_fract_x
_atom_site_fract_y
_atom_site_fract_z
Cr1 Cr 0.0000 0.0000 0.0000
Si1 Si 0.5000 0.5000 0.0000
W1 W 0.0000 0.5000 0.5000

# CrSiW2 GGA-PBEsol relaxed
# - Calculated total energy: -10.769 eV per atom
# - Crystal system: orthorhombic
# - Magnetization: 0.0 μB per cell
data_CrSiW2
_space_group_name_H-M_alt 'P m m m'
_space_group_IT_number 47
_cell_length_a 2.7860
_cell_length_b 3.8375
_cell_length_c 5.1769
_cell_angle_alpha 90.00
_cell_angle_beta 90.00
_cell_angle_gamma 90.00
loop_
_space_group_symop_operation_xyz
'x,y,z'
'-x,-y,-z'
'-x,-y,z'
'x,y,-z'
'x,-y,-z'
'-x,y,z'
'-x,y,-z'
'x,-y,z'
loop_
_atom_site_label
_atom_site_type_symbol
_atom_site_fract_x
_atom_site_fract_y
_atom_site_fract_z
Cr1 Cr 0.0000 0.0000 0.0000
Si1 Si 0.0000 0.0000 0.5000
W1 W 0.5000 0.5000 0.2484

# YCrSi GGA-PBEsol relaxed
# - Calculated total energy: -7.447 eV per atom
# - Crystal system: cubic
# - Magnetization: 19.5 μB per cell
data_YCrSi
_space_group_name_H-M_alt 'F -4 3 m'
_space_group_IT_number 216
_space_group_name_Hall 'F -4 2 3'
_cell_length_a 6.3190
_cell_length_b 6.3190
_cell_length_c 6.3190
_cell_angle_alpha 90.00
_cell_angle_beta 90.00
_cell_angle_gamma 90.00
loop_
_atom_site_label
_atom_site_type_symbol
_atom_site_fract_x
_atom_site_fract_y
_atom_site_fract_z
Y1 Y 0.0000 0.0000 0.0000
Cr1 Cr 0.2500 0.2500 0.7500
Si1 Si 0.0000 0.0000 0.5000